[1]
Here is a geometry-optimized CdTc4Mo structure from Alexandria. Energies are from PBE-GGA.

a b c (Å): 5.1530 5.1530 5.1530
angles (deg): 60.00 60.00 60.00
Closest atoms and distances in Å follow each position.
Fractional coordinates of all 6 atoms:
1 Cd 0.0000 0.0000 0.0000  12 Tc 3.02, 4 Mo 3.16
2 Tc 0.3745 0.3745 0.3745  6 Tc 2.57-2.59
3 Tc 0.3745 0.3745 0.8765  6 Tc 2.57-2.59
4 Tc 0.3745 0.8765 0.3745  6 Tc 2.57-2.59
5 Tc 0.8765 0.3745 0.3745  6 Tc 2.57-2.59
6 Mo 0.7500 0.7500 0.7500  12 Tc 3.02, 4 Cd 3.16

## Properties
symmetry: F-43m, No. 216
energy relative to the elements: 306 meV per atom
volume: 16.1 A^3/atom

=====

[2]
Here is a geometry-optimized NiC2 structure from Alexandria. Energies are from PBE-GGA.

a b c (Å): 5.2892 5.2892 3.6727
angles (deg): 90.00 90.00 120.00
Closest atoms and distances in Å follow each position.
Fractional coordinates of all 9 atoms:
1 Ni 0.0000 0.0000 0.0000  6 C 2.06
2 Ni 0.3333 0.6667 0.5000  6 C 2.02
3 Ni 0.6667 0.3333 0.5000  6 C 2.02
4 C 0.0000 0.2565 0.4208  2 C 1.48
5 C 0.0000 0.7435 0.5792  2 C 1.48
6 C 0.2565 0.0000 0.4208  2 C 1.48
7 C 0.2565 0.2565 0.5792  2 C 1.48
8 C 0.7435 0.0000 0.5792  2 C 1.48
9 C 0.7435 0.7435 0.4208  2 C 1.48

## Properties
relative energy among the computed polymorphs: 769 meV per atom
symmetry: P-31m, No. 162
energy relative to the elements: 1188 meV per atom
volume: 9.9 A^3/atom

=====

[3]
Here is a geometry-optimized Tb3Np2Se6 structure from Alexandria. Energies are from PBE-GGA.

a b c (Å): 20.1394 20.1394 20.1394
angles (deg): 11.74 11.74 11.74
Closest atoms and distances in Å follow each position.
Fractional coordinates of all 11 atoms:
1 Tb 0.0000 0.0000 0.0000  6 Se 2.90
2 Tb 0.2777 0.2777 0.2777  6 Se 2.89-2.91
3 Tb 0.7223 0.7223 0.7223  6 Se 2.89-2.91
4 Np 0.4452 0.4452 0.4452  6 Se 2.80-2.94
5 Np 0.5548 0.5548 0.5548  6 Se 2.80-2.94
6 Se 0.0830 0.0830 0.0830  3 Tb 2.89, 3 Np 2.94
7 Se 0.1967 0.1967 0.1967  3 Np 2.80
8 Se 0.3610 0.3610 0.3610  6 Tb 2.90-2.91
9 Se 0.6390 0.6390 0.6390  6 Tb 2.90-2.91
10 Se 0.8033 0.8033 0.8033  3 Np 2.80
11 Se 0.9170 0.9170 0.9170  3 Tb 2.89, 3 Np 2.94

## Properties
symmetry: R-3m, No. 166
volume: 26.7 A^3/atom
electronic total energy: -0.5138 Ry/atom

=====

What is the volume in the first record?
16.1 A^3/atom